Ac3PbBr after structural relaxation, computed with PBE.

## Properties
As for the space-group type: P2_1/c, No. 14. The magnetization comes out at 0.000 μB per cell. Its density of states at the Fermi level is 18.53 states/eV/cell. The volume comes out at 38.82 A^3/atom. For the total DFT energy (no corrections), the calculation gives -82.37 eV per cell.

```
Ac3PbBr
1.0
-2.597 5.220 -3.650
-9.330 -2.159 3.551
7.423 8.137 6.355
Ac Pb Br
12 4 4
Direct
0.406 0.340 0.534
0.696 0.926 0.351
0.094 0.840 0.034
0.196 0.574 0.149
0.804 0.426 0.851
0.612 0.756 0.798
0.388 0.244 0.202
0.906 0.160 0.966
0.112 0.744 0.702
0.594 0.660 0.466
0.304 0.074 0.649
0.888 0.256 0.298
0.806 0.003 0.660
0.306 0.497 0.840
0.194 0.997 0.340
0.694 0.503 0.160
0.149 0.559 0.408
0.351 0.059 0.908
0.649 0.941 0.092
0.851 0.441 0.592
```